The following is a PBE calculation of a geometry-optimized CeTcGe2 structure, from the Alexandria database.

Properties
Formation enthalpy at 0 K: -0.3348 eV/atom
Energy above the lowest structure with this stoichiometry: 144 meV/atom
Total DFT energy (no corrections): -6.72 eV per atom
Magnetization: 1.16 μB per formula unit

```
data_CeTcGe2
_chemical_formula_sum 'Ce1 Tc1 Ge2'
_cell_length_a 3.211
_cell_length_b 3.211
_cell_length_c 7.098
_cell_angle_alpha 90.00
_cell_angle_beta 90.00
_cell_angle_gamma 90.00
_space_group_name_H-M_alt 'P 4/m m m'
_space_group_IT_number 123
_space_group_name_Hall '-P 4 2'
loop_
_atom_site_label
_atom_site_fract_x
_atom_site_fract_y
_atom_site_fract_z
_atom_site_occupancy
Ce1 0.000 0.000 0.000 1
Tc1 0.000 0.000 0.500 1
Ge1 0.500 0.500 0.303 1
```

---

The following is a PBE calculation of a geometry-optimized FeIr3Rh12 structure, from the Alexandria database.

Properties
Formation enthalpy at 0 K: -0.0142 eV/atom
Total DFT energy (no corrections): -7.72 eV per atom
Magnetization: 3.52 μB per formula unit

```
data_FeIr3Rh12
_chemical_formula_sum 'Fe1 Ir3 Rh12'
_cell_length_a 3.843
_cell_length_b 3.843
_cell_length_c 15.314
_cell_angle_alpha 90.00
_cell_angle_beta 90.00
_cell_angle_gamma 90.00
_space_group_name_H-M_alt 'P 4/m m m'
_space_group_IT_number 123
_space_group_name_Hall '-P 4 2'
loop_
_atom_site_label
_atom_site_fract_x
_atom_site_fract_y
_atom_site_fract_z
_atom_site_occupancy
Fe1 0.000 0.000 0.000 1
Ir1 0.000 0.000 0.249 1
Ir2 0.000 0.000 0.500 1
Rh1 0.000 0.500 0.123 1
Rh2 0.000 0.500 0.374 1
Rh3 0.500 0.500 0.000 1
Rh4 0.500 0.500 0.249 1
Rh5 0.500 0.500 0.500 1
```